Material: Pr2ScMoO6
Method: DFT, GGA+U
State: optimized geometry

Lattice parameters (Å, degrees): 5.655 5.905 8.141 90.00 90.14 90.00
Site moments in Bohr magnetons follow the coordinates.
Fractional positions:
O 0.305 0.704 0.060  0.02
O 0.111 0.457 0.747  0.02
Pr 0.016 0.943 0.249  0.01
O 0.611 0.043 0.247  0.02
O 0.300 0.697 0.444  0.02
O 0.195 0.204 0.440  0.02
O 0.695 0.296 0.940  0.02
Pr 0.516 0.557 0.749  0.01
O 0.805 0.796 0.560  0.02
O 0.389 0.957 0.753  0.02
O 0.889 0.543 0.253  0.02
Mo 0.500 0.000 0.500  2.65
Sc 0.000 0.500 0.500  0.03
O 0.800 0.803 0.944  0.02
O 0.200 0.197 0.056  0.02
Pr 0.484 0.443 0.251  0.01
Mo 0.000 0.500 0.000  2.65
Sc 0.500 0.000 0.000  0.03
O 0.700 0.303 0.556  0.02
Pr 0.984 0.057 0.751  0.01

Calculated values
The calculated density comes out at 6337 kg/m3. For the total energy, the calculation gives -8.28 eV/atom. For the total magnetic moment, the calculation gives 6.0 μB per cell.